Computed, not measured: an optimized crystal structure of Bi2Pd3Se at the PBE-GGA level of DFT.

POSCAR file:
```
Bi2Pd3Se
1.0
6.0434 -2.7736 0.0000
6.0434 2.7736 0.0000
-2.5183 0.0000 7.4295
Bi Pd Se
4 6 2
Direct
0.1860 0.1929 0.0957 Bi
0.1929 0.1860 0.5957 Bi
0.8071 0.8140 0.4043 Bi
0.8140 0.8071 0.9043 Bi
0.1773 0.8227 0.7500 Pd
0.3732 0.3764 0.9372 Pd
0.3764 0.3732 0.4372 Pd
0.6236 0.6268 0.5628 Pd
0.6268 0.6236 0.0628 Pd
0.8227 0.1773 0.2500 Pd
0.3169 0.6831 0.2500 Se
0.6831 0.3169 0.7500 Se
```

The energy relative to the elements, uncorrected is -259 meV per atom. The density of states at the Fermi level comes out at 0.3549 states/eV/atom. The calculation puts the total moment at 0.00 μB/cell.

Computed, not measured: an optimized crystal structure of DyHfNp2N4 at the PBE-GGA level of DFT.

POSCAR file:
```
DyHfNp2N4
1.0
5.8593 0.0000 0.0000
0.0000 3.3657 0.0000
-1.9335 0.0000 5.5747
Dy Hf Np N
1 1 2 4
Direct
0.0000 0.0000 0.0000 Dy
0.5000 0.5000 0.0000 Hf
0.0000 0.5000 0.5000 Np
0.5000 0.0000 0.5000 Np
0.2669 0.5000 0.2469 N
0.2705 0.0000 0.7644 N
0.7295 0.0000 0.2356 N
0.7331 0.5000 0.7531 N
```

The energy relative to the elements, uncorrected is -1421 meV per atom. The density of states at the Fermi level comes out at 1.5039 states/eV/atom. The calculation puts the total moment at 6.26 μB/cell.

Computed, not measured: an optimized crystal structure of MgV2AsSe at the PBE-GGA level of DFT.

POSCAR file:
```
MgV2AsSe
1.0
5.1081 0.0000 0.0000
0.0000 5.1081 0.0000
0.0000 0.0000 4.5358
Mg V As Se
1 2 1 1
Direct
0.0000 0.0000 0.0000 Mg
0.0000 0.5000 0.0000 V
0.5000 0.0000 0.0000 V
0.0000 0.0000 0.5000 As
0.5000 0.5000 0.5000 Se
```

The energy relative to the elements, uncorrected is 1244 meV per atom. The density of states at the Fermi level comes out at 1.1742 states/eV/atom. The calculation puts the total moment at 6.34 μB/cell.

- Which of these has the highest energy relative to the elements, uncorrected?
  MgV2AsSe